# MnNbAsBr2, optimized geometry, DFT GGA-PBE
data_MnNbAsBr2
_chemical_formula_sum 'Mn1 Nb1 As1 Br2'
_cell_length_a 5.2058
_cell_length_b 5.2058
_cell_length_c 5.1076
_cell_angle_alpha 90.00
_cell_angle_beta 90.00
_cell_angle_gamma 90.00
_symmetry_space_group_name_H-M 'P 4/m m m'
_symmetry_Int_Tables_number 123
_symmetry_space_group_name_Hall '-P 4 2'
loop_
_atom_site_label
_atom_site_type_symbol
_atom_site_fract_x
_atom_site_fract_y
_atom_site_fract_z
Mn1 Mn 0.0000 0.0000 0.0000
Nb1 Nb 0.5000 0.5000 0.5000
As1 As 0.5000 0.5000 0.0000
Br1 Br 0.0000 0.5000 0.5000
# M_tot	5.99	μB per cell
# raw total energy	-5.12	eV per atom
# density of states at the Fermi level	3.48	states/eV/f.u.
# mass density	4.6	g cm⁻³
# energy relative to the elements, uncorrected	330	meV per atom
# offset from the most stable computed form	0.0000	eV/atom